[1]
Computed, not measured: a crystal of Sc2Ir relaxed with PBEsol at the SCAN level of DFT.

The electronic total energy comes out at -2.5053 Ry per atom. The value obtained for the formation energy is -895 meV per atom.

The structure belongs to space group Fm-3m (No. 225); the cell edges are 6.298, 6.298 and 6.298 Å and the angles 90.00°, 90.00° and 90.00°. Symmetry generates all atoms from Sc at (0.250, 0.250, 0.250) and Ir at (0.000, 0.000, 0.000).


[2]
Computed, not measured: a crystal of LaRe3C relaxed with PBEsol at the SCAN level of DFT.

The electronic total energy comes out at -3.5804 Ry per atom. The value obtained for the formation energy is 4586 meV per atom. Its offset from the most stable computed form is 3993 meV/atom.

The structure belongs to space group Pm-3m (No. 221); the cell edges are 4.731, 4.731 and 4.731 Å and the angles 90.00°, 90.00° and 90.00°. Symmetry generates all atoms from La at (0.000, 0.000, 0.000), Re at (0.000, 0.000, 0.500) and C at (0.500, 0.500, 0.500).